Material: AlTeI2
Method: DFT, PBEsol
State: optimized geometry

Lattice parameters (Å, degrees): 7.765 7.765 7.765 96.87 96.87 139.53
Positions (direct):
Al (0.000, 0.000, 0.000)
Al (0.750, 0.250, 0.500)
Te (0.250, 0.750, 0.500)
Te (0.500, 0.500, 0.000)
I (0.375, 0.023, 0.148)
I (0.773, 0.625, 0.648)
I (0.875, 0.227, 0.852)
I (0.977, 0.125, 0.352)

Properties
V   285 Å³/cell
Total energy   -0.1014 hartree per atom
DOS at the Fermi energy   4.30 states/eV/f.u.
Formation energy from raw total energies   0.1 eV per formula unit
Magnetization   0.00 μB per formula unit

***

Material: Al3Te3I
Method: DFT, PBEsol
State: optimized geometry

Lattice parameters (Å, degrees): 11.246 4.091 19.763 90.00 90.00 90.00
Positions (direct):
Al (0.043, 0.250, 0.101)
Al (0.163, 0.250, 0.992)
Al (0.169, 0.250, 0.632)
Al (0.331, 0.750, 0.132)
Al (0.337, 0.750, 0.492)
Al (0.457, 0.750, 0.601)
Al (0.543, 0.250, 0.399)
Al (0.663, 0.250, 0.508)
Al (0.669, 0.250, 0.868)
Al (0.831, 0.750, 0.368)
Al (0.837, 0.750, 0.008)
Al (0.957, 0.750, 0.899)
Te (0.096, 0.250, 0.862)
Te (0.181, 0.250, 0.499)
Te (0.221, 0.250, 0.192)
Te (0.279, 0.750, 0.692)
Te (0.319, 0.750, 0.999)
Te (0.404, 0.750, 0.362)
Te (0.596, 0.250, 0.638)
Te (0.681, 0.250, 0.001)
Te (0.721, 0.250, 0.308)
Te (0.779, 0.750, 0.808)
Te (0.819, 0.750, 0.501)
Te (0.904, 0.750, 0.138)
I (0.046, 0.750, 0.332)
I (0.454, 0.250, 0.832)
I (0.546, 0.750, 0.168)
I (0.954, 0.250, 0.668)

Properties
V   909 Å³/cell
Total energy   -0.1442 hartree per atom
DOS at the Fermi energy   0.00 states/eV/f.u.
Formation energy from raw total energies   -2.9 eV per formula unit
Magnetization   0.00 μB per formula unit

***

Material: AlTlTe2I
Method: DFT, PBEsol
State: optimized geometry

Lattice parameters (Å, degrees): 5.316 5.316 5.634 90.00 90.00 90.00
Positions (direct):
Al (0.000, 0.000, 0.000)
Tl (0.500, 0.500, 0.500)
Te (0.000, 0.500, 0.000)
Te (0.500, 0.000, 0.000)
I (0.000, 0.000, 0.500)

Properties
V   159 Å³/cell
Total energy   -0.1188 hartree per atom
DOS at the Fermi energy   2.70 states/eV/f.u.
Formation energy from raw total energies   -0.6 eV per formula unit
Magnetization   0.00 μB per formula unit

***

Material: AlTlTeI2
Method: DFT, PBEsol
State: optimized geometry

Lattice parameters (Å, degrees): 5.937 5.937 5.700 90.00 90.00 90.00
Positions (direct):
Al (0.000, 0.000, 0.000)
Tl (0.500, 0.500, 0.500)
Te (0.500, 0.500, 0.000)
I (0.000, 0.500, 0.500)
I (0.500, 0.000, 0.500)

Properties
V   201 Å³/cell
Total energy   -0.0898 hartree per atom
DOS at the Fermi energy   3.64 states/eV/f.u.
Formation energy from raw total energies   1.6 eV per formula unit
Magnetization   0.00 μB per formula unit

***

Material: TiAlI2
Method: DFT, PBEsol
State: optimized geometry

Lattice parameters (Å, degrees): 5.009 5.009 5.009 60.00 60.00 60.00
Positions (direct):
Ti (0.000, 0.000, 0.000)
Al (0.500, 0.500, 0.500)
I (0.250, 0.250, 0.250)
I (0.750, 0.750, 0.750)

Properties
V   89 Å³/cell
Total energy   -0.1392 hartree per atom
DOS at the Fermi energy   3.66 states/eV/f.u.
Formation energy from raw total energies   0.8 eV per formula unit
Magnetization   0.37 μB per formula unit

***

Material: AlTlI3
Method: DFT, PBEsol
State: optimized geometry

Lattice parameters (Å, degrees): 5.633 5.633 5.633 90.00 90.00 90.00
Positions (direct):
Al (0.000, 0.000, 0.000)
Tl (0.500, 0.500, 0.500)
I (0.000, 0.000, 0.500)
I (0.000, 0.500, 0.000)
I (0.500, 0.000, 0.000)

Properties
V   179 Å³/cell
Total energy   -0.1033 hartree per atom
DOS at the Fermi energy   1.29 states/eV/f.u.
Formation energy from raw total energies   -2.0 eV per formula unit
Magnetization   0.00 μB per formula unit

***

Material: AlWI2
Method: DFT, PBEsol
State: optimized geometry

Lattice parameters (Å, degrees): 4.868 4.868 4.868 60.00 60.00 60.00
Positions (direct):
Al (0.000, 0.000, 0.000)
W (0.500, 0.500, 0.500)
I (0.250, 0.250, 0.250)
I (0.750, 0.750, 0.750)

Properties
V   82 Å³/cell
Total energy   -0.1586 hartree per atom
DOS at the Fermi energy   2.79 states/eV/f.u.
Formation energy from raw total energies   4.2 eV per formula unit
Magnetization   0.00 μB per formula unit

***

Material: YAl2I2
Method: DFT, PBEsol
State: optimized geometry

Lattice parameters (Å, degrees): 8.325 8.325 4.052 90.00 90.00 90.00
Positions (direct):
Y (0.000, 0.000, 0.000)
Y (0.500, 0.500, 0.000)
Al (0.178, 0.322, 0.500)
Al (0.322, 0.822, 0.500)
Al (0.678, 0.178, 0.500)
Al (0.822, 0.678, 0.500)
I (0.148, 0.648, 0.000)
I (0.352, 0.148, 0.000)
I (0.648, 0.852, 0.000)
I (0.852, 0.352, 0.000)

Properties
V   281 Å³/cell
Total energy   -0.1352 hartree per atom
DOS at the Fermi energy   3.15 states/eV/f.u.
Formation energy from raw total energies   0.1 eV per formula unit
Magnetization   0.00 μB per formula unit
Relative energy among the computed polymorphs   166 kJ/mol of formula units

***

Material: YAl2I2
Method: DFT, PBEsol
State: optimized geometry

Lattice parameters (Å, degrees): 11.485 11.485 11.485 161.39 161.39 26.44
Positions (direct):
Y (0.000, 0.000, 0.000)
Al (0.250, 0.750, 0.500)
Al (0.750, 0.250, 0.500)
I (0.419, 0.419, 0.000)
I (0.581, 0.581, 0.000)

Properties
V   154 Å³/cell
Total energy   -0.1478 hartree per atom
DOS at the Fermi energy   2.85 states/eV/f.u.
Formation energy from raw total energies   -1.6 eV per formula unit
Magnetization   0.00 μB per formula unit
Relative energy among the computed polymorphs   0 kJ/mol of formula units

***

Material: YAlI3
Method: DFT, PBEsol
State: optimized geometry

Lattice parameters (Å, degrees): 5.490 5.490 5.490 90.00 90.00 90.00
Positions (direct):
Y (0.000, 0.000, 0.000)
Al (0.500, 0.500, 0.500)
I (0.000, 0.500, 0.500)
I (0.500, 0.000, 0.500)
I (0.500, 0.500, 0.000)

Properties
V   165 Å³/cell
Total energy   -0.1225 hartree per atom
DOS at the Fermi energy   5.18 states/eV/f.u.
Formation energy from raw total energies   -0.5 eV per formula unit
Magnetization   1.13 μB per formula unit

***

Material: YAlI2
Method: DFT, PBEsol
State: optimized geometry

Lattice parameters (Å, degrees): 5.343 5.343 5.343 60.00 60.00 60.00
Positions (direct):
Y (0.000, 0.000, 0.000)
Al (0.500, 0.500, 0.500)
I (0.250, 0.250, 0.250)
I (0.750, 0.750, 0.750)

Properties
V   108 Å³/cell
Total energy   -0.1453 hartree per atom
DOS at the Fermi energy   5.11 states/eV/f.u.
Formation energy from raw total energies   -1.4 eV per formula unit
Magnetization   0.57 μB per formula unit

***

Material: Al2ZnI
Method: DFT, PBEsol
State: optimized geometry

Lattice parameters (Å, degrees): 4.986 4.986 4.986 60.00 60.00 60.00
Positions (direct):
Al (0.250, 0.250, 0.250)
Al (0.750, 0.750, 0.750)
Zn (0.000, 0.000, 0.000)
I (0.500, 0.500, 0.500)

Properties
V   88 Å³/cell
Total energy   -0.0879 hartree per atom
DOS at the Fermi energy   2.16 states/eV/f.u.
Formation energy from raw total energies   2.0 eV per formula unit
Magnetization   0.00 μB per formula unit
Relative energy among the computed polymorphs   39 kJ/mol of formula units

***

Material: Al2ZnI
Method: DFT, PBEsol
State: optimized geometry

Lattice parameters (Å, degrees): 7.792 7.792 7.792 135.11 135.11 65.36
Positions (direct):
Al (0.038, 0.625, 0.913)
Al (0.375, 0.288, 0.413)
Al (0.712, 0.125, 0.087)
Al (0.875, 0.962, 0.587)
Zn (0.000, 0.000, 0.000)
Zn (0.750, 0.250, 0.500)
I (0.250, 0.750, 0.500)
I (0.500, 0.500, 0.000)

Properties
V   232 Å³/cell
Total energy   -0.0917 hartree per atom
DOS at the Fermi energy   3.06 states/eV/f.u.
Formation energy from raw total energies   1.6 eV per formula unit
Magnetization   0.00 μB per formula unit
Relative energy among the computed polymorphs   0 kJ/mol of formula units

***

Material: AlZnI3
Method: DFT, PBEsol
State: optimized geometry

Lattice parameters (Å, degrees): 5.483 5.483 5.483 90.00 90.00 90.00
Positions (direct):
Al (0.000, 0.000, 0.000)
Zn (0.500, 0.500, 0.500)
I (0.000, 0.500, 0.500)
I (0.500, 0.000, 0.500)
I (0.500, 0.500, 0.000)

Properties
V   165 Å³/cell
Total energy   -0.0829 hartree per atom
DOS at the Fermi energy   1.18 states/eV/f.u.
Formation energy from raw total energies   -0.3 eV per formula unit
Magnetization   0.00 μB per formula unit

***

Material: AlZn3I
Method: DFT, PBEsol
State: optimized geometry

Lattice parameters (Å, degrees): 5.334 5.334 5.334 90.00 90.00 90.00
Positions (direct):
Al (0.000, 0.000, 0.000)
Zn (0.000, 0.500, 0.500)
Zn (0.500, 0.000, 0.500)
Zn (0.500, 0.500, 0.000)
I (0.500, 0.500, 0.500)

Properties
V   152 Å³/cell
Total energy   -0.0379 hartree per atom
DOS at the Fermi energy   2.88 states/eV/f.u.
Formation energy from raw total energies   5.4 eV per formula unit
Magnetization   0.00 μB per formula unit

***

Material: ZrAlI2
Method: DFT, PBEsol
State: optimized geometry

Lattice parameters (Å, degrees): 5.098 5.098 5.098 60.00 60.00 60.00
Positions (direct):
Zr (0.000, 0.000, 0.000)
Al (0.500, 0.500, 0.500)
I (0.250, 0.250, 0.250)
I (0.750, 0.750, 0.750)

Properties
V   94 Å³/cell
Total energy   -0.1528 hartree per atom
DOS at the Fermi energy   2.85 states/eV/f.u.
Formation energy from raw total energies   0.1 eV per formula unit
Magnetization   0.00 μB per formula unit

***

Material: AlIn5
Method: DFT, PBEsol
State: optimized geometry

Lattice parameters (Å, degrees): 5.936 5.936 5.338 90.00 90.00 120.00
Positions (direct):
Al (0.000, 0.000, 0.000)
In (0.000, 0.500, 0.500)
In (0.333, 0.667, 0.000)
In (0.500, 0.000, 0.500)
In (0.500, 0.500, 0.500)
In (0.667, 0.333, 0.000)

Properties
Energy relative to the elements   0.295 eV/atom
V   163 Å³/cell
Total energy   -0.1056 hartree per atom
DOS at the Fermi energy   3.31 states/eV/f.u.
Magnetization   0.00 μB per formula unit

***

Material: AlIn5
Method: DFT, PBEsol
State: optimized geometry

Lattice parameters (Å, degrees): 3.191 3.191 14.080 90.00 90.00 90.00
Positions (direct):
Al (0.000, 0.000, 0.000)
In (0.000, 0.000, 0.324)
In (0.000, 0.000, 0.676)
In (0.500, 0.500, 0.147)
In (0.500, 0.500, 0.500)
In (0.500, 0.500, 0.853)

Properties
Energy relative to the elements   0.055 eV/atom
V   143 Å³/cell
Total energy   -0.1144 hartree per atom
DOS at the Fermi energy   2.81 states/eV/f.u.
Magnetization   0.00 μB per formula unit

***

Material: AlIn2
Method: DFT, PBEsol
State: optimized geometry

Lattice parameters (Å, degrees): 5.724 5.724 5.724 102.60 102.60 124.30
Positions (direct):
Al (0.250, 0.250, 0.000)
Al (0.750, 0.750, 0.000)
In (0.153, 0.653, 0.806)
In (0.347, 0.153, 0.500)
In (0.653, 0.847, 0.500)
In (0.847, 0.347, 0.194)

Properties
Energy relative to the elements   0.079 eV/atom
V   137 Å³/cell
Total energy   -0.1203 hartree per atom
DOS at the Fermi energy   1.31 states/eV/f.u.
Magnetization   0.00 μB per formula unit

***

Material: Al3In
Method: DFT, PBEsol
State: optimized geometry

Lattice parameters (Å, degrees): 9.989 9.989 9.989 17.06 17.06 17.06
Positions (direct):
Al (0.000, 0.000, 0.000)
Al (0.256, 0.256, 0.256)
Al (0.744, 0.744, 0.744)
In (0.500, 0.500, 0.500)

Properties
Energy relative to the elements   0.120 eV/atom
V   75 Å³/cell
Total energy   -0.1358 hartree per atom
DOS at the Fermi energy   1.87 states/eV/f.u.
Magnetization   0.00 μB per formula unit